Entry from Alexandria: a relaxed structure of NpCd2 (GGA-PBE).

For the formation energy, the calculation gives 282 meV/atom. As for the crystal system: cubic. The calculated density is 10.604 g/cm³. Its total energy is -4.64 eV per atom. The calculation puts the density of states at the Fermi level at 3.3188 states/eV per atom.

The structure belongs to space group Fd-3m (No. 227, origin choice 2); the cell edges are 8.3327, 8.3327 and 8.3327 Å and the angles 90.00°, 90.00° and 90.00°. The asymmetric unit holds Np at (0.1250, 0.1250, 0.1250) and Cd at (0.0000, 0.0000, 0.5000).